DFT (PBE-GGA) results for a geometry-optimized Ir3Rh4W structure.

a = 2.6942 Å, b = 9.0095 Å, c = 6.8013 Å
α = 131.48°, β = 101.42°, γ = 90.00°
Last column: nearest neighbours and their distance in Å.
Positions (direct):
Rh (0.1309, 0.3748, 0.2618)  5 Rh 2.57-2.70, 4 Ir 2.58-2.85, 2 W 2.88
Rh (0.8691, 0.6252, 0.7382)  5 Rh 2.57-2.70, 4 Ir 2.58-2.85, 2 W 2.88
Rh (0.8691, 0.1131, 0.7382)  5 Rh 2.57-2.70, 4 Ir 2.58-2.85, 2 W 2.88
Rh (0.1309, 0.8869, 0.2618)  5 Rh 2.57-2.70, 4 Ir 2.58-2.85, 2 W 2.88
W (0.5000, 0.0000, 0.0000)  2 W 2.69, 8 Rh 2.88, 4 Ir 2.96
Ir (0.7322, 0.7322, 0.4643)  6 Rh 2.58-2.85, 4 Ir 2.65-2.69
Ir (0.0000, 0.5000, 0.0000)  4 Rh 2.64, 6 Ir 2.65-2.69
Ir (0.2678, 0.2678, 0.5357)  6 Rh 2.58-2.85, 4 Ir 2.65-2.69

Values from the calculation:
Final energy = -0.62366 Ry/atom
Size of the total moment = 0.000 μB/f.u.
SG = No. 71

***

DFT (PBE-GGA) results for a geometry-optimized Ir2RhW structure.

a = 4.7676 Å, b = 4.7676 Å, c = 4.7676 Å
α = 131.82°, β = 131.82°, γ = 70.52°
Last column: nearest neighbours and their distance in Å.
Positions (direct):
W (0.2500, 0.7500, 0.5000)  8 Ir 2.75, 4 Rh 2.75
Ir (0.5000, 0.5000, 0.0000)  4 Rh 2.75, 4 W 2.75, 4 Ir 2.75
Ir (0.7500, 0.2500, 0.5000)  4 W 2.75, 4 Rh 2.75, 4 Ir 2.75
Rh (0.0000, 0.0000, 0.0000)  8 Ir 2.75, 4 W 2.75

Values from the calculation:
Final energy = -0.71457 Ry/atom
Size of the total moment = 0.000 μB/f.u.
Energy above the most stable polymorph in this dataset = 49 meV per atom
SG = No. 119

***

DFT (PBE-GGA) results for a geometry-optimized Ir3Rh3W2 structure.

a = 3.9036 Å, b = 3.8839 Å, c = 7.7298 Å
α = 90.00°, β = 90.00°, γ = 90.00°
Last column: nearest neighbours and their distance in Å.
Positions (direct):
W (0.0000, 0.0000, 0.7507)  6 Ir 2.74-2.75, 6 Rh 2.74-2.75
W (0.0000, 0.0000, 0.2493)  6 Ir 2.74-2.75, 6 Rh 2.74-2.75
Ir (0.0000, 0.5000, 0.5000)  4 W 2.74, 4 Rh 2.74, 4 Ir 2.75
Ir (0.5000, 0.0000, 0.5000)  4 Rh 2.74, 4 W 2.75, 4 Ir 2.75
Ir (0.0000, 0.5000, 0.0000)  4 W 2.74, 8 Rh 2.75
Rh (0.5000, 0.5000, 0.7495)  6 Ir 2.74-2.75, 2 Rh 2.74, 4 W 2.75
Rh (0.5000, 0.0000, 0.0000)  4 Rh 2.74, 4 W 2.74, 4 Ir 2.75
Rh (0.5000, 0.5000, 0.2505)  6 Ir 2.74-2.75, 2 Rh 2.74, 4 W 2.75

Values from the calculation:
Final energy = -0.70358 Ry/atom
Size of the total moment = 0.000 μB/f.u.
Energy above the most stable polymorph in this dataset = 0 meV per atom
SG = No. 47

***

DFT (PBE-GGA) results for a geometry-optimized Ir2RhW structure.

a = 2.7483 Å, b = 2.7483 Å, c = 7.8456 Å
α = 90.00°, β = 90.00°, γ = 90.00°
Last column: nearest neighbours and their distance in Å.
Positions (direct):
W (0.5000, 0.5000, 0.7493)  4 W 2.75, 4 Rh 2.75, 4 Ir 2.77
Rh (0.0000, 0.0000, 0.5014)  4 Rh 2.75, 4 W 2.75, 4 Ir 2.77
Ir (0.0000, 0.0000, 0.0002)  8 Ir 2.75-2.76, 4 W 2.77
Ir (0.5000, 0.5000, 0.2491)  8 Ir 2.75-2.76, 4 Rh 2.77

Values from the calculation:
Final energy = -0.70504 Ry/atom
Size of the total moment = 0.000 μB/f.u.
Energy above the most stable polymorph in this dataset = 178 meV per atom
SG = No. 99

***

DFT (PBE-GGA) results for a geometry-optimized Ir2Rh6W3 structure.

a = 6.1684 Å, b = 4.7379 Å, c = 11.3513 Å
α = 60.94°, β = 49.46°, γ = 97.71°
Last column: nearest neighbours and their distance in Å.
Positions (direct):
Rh (0.0944, 0.7322, 0.8149)  5 Rh 2.70-2.80, 5 W 2.73-2.83, 2 Ir 2.73-2.79
Rh (0.9056, 0.2678, 0.1851)  5 Rh 2.70-2.80, 5 W 2.73-2.83, 2 Ir 2.73-2.79
Rh (0.7019, 0.7952, 0.5542)  4 W 2.68-2.73, 6 Rh 2.70-2.95, 2 Ir 2.80-2.89
Rh (0.3613, 0.9093, 0.2734)  3 W 2.67-2.77, 6 Rh 2.73-2.81, 3 Ir 2.74-2.75
Rh (0.2981, 0.2048, 0.4458)  4 W 2.68-2.73, 6 Rh 2.70-2.95, 2 Ir 2.80-2.89
Rh (0.6387, 0.0907, 0.7266)  3 W 2.67-2.77, 6 Rh 2.73-2.81, 3 Ir 2.74-2.75
Ir (0.4718, 0.6527, 0.0819)  2 Ir 2.71-2.75, 3 W 2.71-2.72, 7 Rh 2.73-2.89
Ir (0.5282, 0.3473, 0.9181)  2 Ir 2.71-2.75, 3 W 2.71-2.72, 7 Rh 2.73-2.89
W (0.1716, 0.4709, 0.6311)  8 Rh 2.67-2.83, 2 Ir 2.71-2.72, 2 W 2.86-2.93
W (0.8284, 0.5291, 0.3689)  8 Rh 2.67-2.83, 2 Ir 2.71-2.72, 2 W 2.86-2.93
W (0.0000, 0.0000, 0.0000)  8 Rh 2.68-2.77, 2 Ir 2.71, 2 W 2.86

Values from the calculation:
Final energy = -0.68539 Ry/atom
Size of the total moment = 0.000 μB/f.u.
SG = No. 2

***

DFT (PBE-GGA) results for a geometry-optimized Y2Ir2Rh structure.

a = 6.9422 Å, b = 6.9422 Å, c = 4.1853 Å
α = 90.00°, β = 90.00°, γ = 90.00°
Last column: nearest neighbours and their distance in Å.
Positions (direct):
Y (0.6799, 0.8201, 0.5000)  6 Ir 2.81-3.02
Y (0.8201, 0.3201, 0.5000)  6 Ir 2.81-3.02
Y (0.3201, 0.1799, 0.5000)  6 Ir 2.81-3.02
Y (0.1799, 0.6799, 0.5000)  6 Ir 2.81-3.02
Rh (0.0000, 0.0000, 0.0000)  4 Ir 2.73
Rh (0.5000, 0.5000, 0.0000)  4 Ir 2.73
Ir (0.6286, 0.1286, 0.0000)  1 Ir 2.52, 2 Rh 2.73, 2 Y 2.81
Ir (0.8714, 0.6286, 0.0000)  1 Ir 2.52, 2 Rh 2.73, 2 Y 2.81
Ir (0.3714, 0.8714, 0.0000)  1 Ir 2.52, 2 Rh 2.73, 2 Y 2.81
Ir (0.1286, 0.3714, 0.0000)  1 Ir 2.52, 2 Rh 2.73, 2 Y 2.81

Values from the calculation:
Final energy = -0.60400 Ry/atom
Size of the total moment = 0.000 μB/f.u.
SG = No. 127

***

DFT (PBE-GGA) results for a geometry-optimized Y3IrRh2 structure.

a = 4.8639 Å, b = 4.8639 Å, c = 11.8865 Å
α = 90.00°, β = 90.00°, γ = 120.00°
Last column: nearest neighbours and their distance in Å.
Positions (direct):
Y (0.6667, 0.3333, 0.0844)  1 Ir 2.96, 7 Rh 2.96-2.98
Y (0.3333, 0.6667, 0.9156)  1 Ir 2.96, 7 Rh 2.96-2.98
Y (0.3333, 0.6667, 0.4168)  4 Ir 2.97-2.98, 4 Rh 2.98-2.99
Y (0.0000, 0.0000, 0.2510)  5 Rh 2.96-2.99, 3 Ir 2.97
Y (0.0000, 0.0000, 0.7490)  5 Rh 2.96-2.99, 3 Ir 2.97
Y (0.6667, 0.3333, 0.5832)  4 Ir 2.97-2.98, 4 Rh 2.98-2.99
Rh (0.6667, 0.3333, 0.8350)  8 Y 2.96-2.99
Rh (0.0000, 0.0000, 0.5000)  8 Y 2.96-2.98
Rh (0.0000, 0.0000, 0.0000)  8 Y 2.98
Rh (0.3333, 0.6667, 0.1650)  8 Y 2.96-2.99
Ir (0.3333, 0.6667, 0.6664)  8 Y 2.96-2.98
Ir (0.6667, 0.3333, 0.3336)  8 Y 2.96-2.98

Values from the calculation:
Final energy = -0.58790 Ry/atom
Size of the total moment = 0.000 μB/f.u.
Energy above the most stable polymorph in this dataset = 0 meV per atom
SG = No. 164

***

DFT (PBE-GGA) results for a geometry-optimized Y3IrRh2 structure.

a = 3.4424 Å, b = 3.4424 Å, c = 10.2939 Å
α = 90.00°, β = 90.00°, γ = 90.00°
Last column: nearest neighbours and their distance in Å.
Positions (direct):
Y (0.0000, 0.0000, 0.3351)  4 Ir 2.97, 4 Rh 3.00
Y (0.0000, 0.0000, 0.0000)  8 Rh 2.97
Y (0.0000, 0.0000, 0.6649)  4 Ir 2.97, 4 Rh 3.00
Ir (0.5000, 0.5000, 0.5000)  8 Y 2.97
Rh (0.5000, 0.5000, 0.8346)  8 Y 2.97-3.00
Rh (0.5000, 0.5000, 0.1654)  8 Y 2.97-3.00

Values from the calculation:
Final energy = -0.58672 Ry/atom
Size of the total moment = 0.110 μB/f.u.
Energy above the most stable polymorph in this dataset = 16 meV per atom
SG = No. 123

***

| no. | volume (Å³/cell) |
| --- | --- |
| 1 | 119.3 |
| 2 | 59.0 |
| 3 | 117.2 |
| 4 | 59.3 |
| 5 | 162.1 |
| 6 | 201.7 |
| 7 | 243.5 |
| 8 | 122.0 |